# 1
{
  "formula": "HoGe2Ir3",
  "functional": "GGA-PBE",
  "state": "relaxed",
  "cell": [[4.050, 0.000, 0.000], [-2.025, 7.796, -2.544], [0.000, -0.009, 9.839]],
  "species": ["Ho", "Ho", "Ho", "Ge", "Ge", "Ge", "Ge", "Ge", "Ge", "Ir", "Ir", "Ir", "Ir", "Ir", "Ir", "Ir", "Ir", "Ir"],
  "frac_coords": [[0.162, 0.323, 0.704], [0.838, 0.677, 0.296], [0.000, 0.000, 0.000], [0.194, 0.388, 0.128], [0.806, 0.612, 0.872], [0.461, 0.922, 0.218], [0.539, 0.078, 0.782], [0.362, 0.724, 0.544], [0.638, 0.276, 0.456], [0.040, 0.080, 0.329], [0.960, 0.920, 0.671], [0.217, 0.434, 0.392], [0.783, 0.566, 0.608], [0.620, 0.240, 0.197], [0.380, 0.760, 0.803], [0.500, 0.000, 0.500], [0.320, 0.641, 0.042], [0.680, 0.359, 0.958]],
  "delta_e_f_ev_per_atom": -0.618,
  "sg": "C2/m (12)"
}

=====

# 2
{
  "formula": "LiMo3",
  "functional": "GGA-PBE",
  "state": "relaxed",
  "cell": [[-4.818, -1.013, 1.938], [3.986, 0.376, 3.458], [0.291, 2.952, -4.381]],
  "species": ["Li", "Mo", "Mo", "Mo"],
  "frac_coords": [[0.000, 0.000, 0.000], [0.500, 0.000, 0.500], [0.500, 0.500, 0.000], [0.000, 0.500, 0.500]],
  "delta_e_f_ev_per_atom": 0.269,
  "sg": "R-3m (166)"
}

=====

# 3
{
  "formula": "Sr3Br3N",
  "functional": "GGA-PBE",
  "state": "relaxed",
  "cell": [[9.693, 0.000, -3.427], [-4.846, 8.394, -3.427], [0.000, 0.000, 10.281]],
  "species": ["Sr", "Sr", "Sr", "Sr", "Sr", "Sr", "Sr", "Sr", "Sr", "Sr", "Sr", "Sr", "Br", "Br", "Br", "Br", "Br", "Br", "Br", "Br", "Br", "Br", "Br", "Br", "N", "N", "N", "N"],
  "frac_coords": [[0.957, 0.479, 0.229], [0.521, 0.043, 0.271], [0.250, 0.021, 0.479], [0.979, 0.750, 0.021], [0.979, 0.229, 0.457], [0.771, 0.021, 0.043], [0.729, 0.457, 0.479], [0.771, 0.750, 0.229], [0.543, 0.271, 0.021], [0.250, 0.229, 0.271], [0.729, 0.271, 0.750], [0.521, 0.479, 0.750], [0.246, 0.996, 0.992], [0.750, 0.754, 0.746], [0.492, 0.746, 0.996], [0.004, 0.250, 0.996], [0.254, 0.746, 0.250], [0.496, 0.504, 0.250], [0.246, 0.250, 0.754], [0.254, 0.508, 0.504], [0.750, 0.996, 0.504], [0.008, 0.504, 0.754], [0.004, 0.754, 0.508], [0.496, 0.992, 0.746], [0.750, 0.500, 0.000], [0.500, 0.250, 0.500], [0.750, 0.250, 0.250], [0.000, 0.000, 0.250]],
  "sg": "I4_132 (214)",
  "e_form_raw_mev_per_atom": -1608.8
}

=====

# 4
{
  "formula": "Mg2PN4",
  "functional": "GGA-PBE",
  "state": "relaxed",
  "cell": [[3.561, 0.000, 0.000], [0.000, 3.561, 0.000], [1.780, 1.780, 5.355]],
  "species": ["P", "Mg", "Mg", "N", "N", "N", "N"],
  "frac_coords": [[0.000, 0.000, 0.000], [0.351, 0.351, 0.298], [0.649, 0.649, 0.702], [0.159, 0.159, 0.682], [0.841, 0.841, 0.318], [0.000, 0.500, 0.000], [0.500, 0.000, 0.000]],
  "sg": "I4/mmm (139)",
  "e_form_raw_mev_per_atom": 180.9
}

=====

# 5
{
  "formula": "Ca3Ac6Y2",
  "functional": "GGA-PBE",
  "state": "relaxed",
  "cell": [[3.881, 0.000, 0.238], [1.933, 3.365, 0.238], [-0.193, -0.112, 34.900]],
  "species": ["Ca", "Ca", "Ca", "Ac", "Ac", "Ac", "Ac", "Ac", "Ac", "Y", "Y"],
  "frac_coords": [[0.000, 0.000, 0.000], [0.729, 0.729, 0.814], [0.271, 0.271, 0.186], [0.907, 0.907, 0.280], [0.093, 0.093, 0.720], [0.818, 0.818, 0.547], [0.182, 0.182, 0.453], [0.636, 0.636, 0.093], [0.364, 0.364, 0.907], [0.545, 0.545, 0.365], [0.455, 0.455, 0.635]],
  "delta_e_f_ev_per_atom": 0.037,
  "sg": "R-3m (166)"
}

=====

# 6
{
  "formula": "PuCdCu",
  "functional": "GGA-PBE",
  "state": "relaxed",
  "cell": [[3.089, 0.000, 0.000], [0.000, 3.089, 0.000], [-1.544, -1.544, 6.380]],
  "species": ["Cd", "Cu", "Pu"],
  "frac_coords": [[0.023, 0.023, 0.046], [0.657, 0.657, 0.314], [0.320, 0.320, 0.639]],
  "delta_e_f_ev_per_atom": 0.029,
  "sg": "I4mm (107)"
}